No. 1
Below is ScAlNi2 after structural relaxation, with properties calculated at the PBE-GGA level. Values from VASP.

```
&SYSTEM
  ibrav = 0, nat = 4, ntyp = 3
/
ATOMIC_SPECIES
Ni 58.69 Ni.upf
Al 26.98 Al.upf
Sc 44.96 Sc.upf
CELL_PARAMETERS angstrom
3.065 0.000 0.000
0.000 3.070 0.003
0.000 3.064 5.976
ATOMIC_POSITIONS crystal
Ni 0.000 0.026 0.974
Ni 0.000 0.474 0.526
Al 0.500 0.750 0.750
Sc 0.500 0.250 0.250
```

## Properties
The total energy is -5.963 eV/atom. The density of states at the Fermi level is 0.675 states/eV per atom. Its volume is 14.050 A^3/atom. For the formation energy, the calculation gives -0.554 eV per atom.



No. 2
Below is TbThScCd after structural relaxation, with properties calculated at the PBE-GGA level. Values from VASP.

```
&SYSTEM
  ibrav = 0, nat = 4, ntyp = 4
/
ATOMIC_SPECIES
Tb 158.93 Tb.upf
Cd 112.41 Cd.upf
Sc 44.96 Sc.upf
Th 232.04 Th.upf
CELL_PARAMETERS angstrom
-3.507 -1.613 -3.772
1.568 -3.446 -3.846
-1.833 -5.076 0.014
ATOMIC_POSITIONS crystal
Tb 0.750 0.750 0.750
Cd 0.500 0.500 0.500
Sc 0.000 0.000 0.000
Th 0.250 0.250 0.250
```

## Properties
The total energy is -4.807 eV/atom. The density of states at the Fermi level is 1.460 states/eV per atom. Its volume is 27.785 A^3/atom. For the formation energy, the calculation gives 0.017 eV per atom. The calculation puts the relative energy among the computed polymorphs at 0.173 eV/atom.



No. 3
Below is TbCe3Pr4S8 after structural relaxation, with properties calculated at the PBE-GGA level. Values from VASP.

```
&SYSTEM
  ibrav = 0, nat = 16, ntyp = 4
/
ATOMIC_SPECIES
S 32.06 S.upf
Ce 140.12 Ce.upf
Pr 140.91 Pr.upf
Tb 158.93 Tb.upf
CELL_PARAMETERS angstrom
8.109 0.000 0.000
0.000 8.105 -0.008
-4.055 -4.051 5.737
ATOMIC_POSITIONS crystal
S 0.748 0.744 0.496
S 0.755 0.260 0.005
S 0.249 0.260 0.005
S 0.751 0.740 0.995
S 0.252 0.256 0.504
S 0.245 0.740 0.995
S 0.755 0.260 0.511
S 0.245 0.740 0.489
Ce 0.500 0.500 0.000
Ce 0.500 0.500 0.500
Ce 0.000 0.500 0.500
Pr 0.000 0.000 0.000
Pr 0.000 0.000 0.500
Pr 0.500 0.000 0.500
Pr 0.500 0.000 0.000
Tb 0.000 0.500 0.000
```

## Properties
The total energy is -6.693 eV/atom. The density of states at the Fermi level is 1.177 states/eV per atom. Its volume is 23.550 A^3/atom.



No. 4
Below is Sr2TcAu after structural relaxation, with properties calculated at the PBE-GGA level. Values from VASP.

```
&SYSTEM
  ibrav = 0, nat = 4, ntyp = 3
/
ATOMIC_SPECIES
Tc 98.00 Tc.upf
Au 196.97 Au.upf
Sr 87.62 Sr.upf
CELL_PARAMETERS angstrom
-3.561 -7.636 -4.437
0.072 -8.580 -4.131
-2.275 -9.163 -1.244
ATOMIC_POSITIONS crystal
Tc 0.250 0.250 0.250
Au 0.750 0.750 0.750
Sr 0.502 0.502 0.502
Sr 0.998 0.998 0.998
```

## Properties
The total energy is -3.767 eV/atom. The density of states at the Fermi level is 0.742 states/eV per atom. Its volume is 28.468 A^3/atom. For the formation energy, the calculation gives 0.485 eV per atom. The calculation puts the relative energy among the computed polymorphs at 0.317 eV/atom.



No. 5
Below is K2Np3TiO12 after structural relaxation, with properties calculated at the PBE-GGA level. Values from VASP.

```
&SYSTEM
  ibrav = 0, nat = 18, ntyp = 4
/
ATOMIC_SPECIES
K 39.10 K.upf
O 16.00 O.upf
Ti 47.87 Ti.upf
Np 237.00 Np.upf
CELL_PARAMETERS angstrom
7.477 -0.168 -0.119
3.547 6.584 -0.119
3.547 2.064 6.253
ATOMIC_POSITIONS crystal
K 0.365 0.365 0.365
K 0.635 0.635 0.635
O 0.062 0.676 0.676
O 0.676 0.062 0.676
O 0.324 0.938 0.324
O 0.060 0.060 0.697
O 0.303 0.940 0.940
O 0.697 0.060 0.060
O 0.676 0.676 0.062
O 0.324 0.324 0.938
O 0.940 0.940 0.303
O 0.938 0.324 0.324
O 0.060 0.697 0.060
O 0.940 0.303 0.940
Ti 0.000 0.000 0.000
Np 0.500 0.000 0.000
Np 0.000 0.000 0.500
Np 0.000 0.500 0.000
```

## Properties
The total energy is -8.703 eV/atom. The density of states at the Fermi level is 0.230 states/eV per atom. Its volume is 17.520 A^3/atom.



No. 6
Below is Ca3NdPa3N8 after structural relaxation, with properties calculated at the PBE-GGA level. Values from VASP.

```
&SYSTEM
  ibrav = 0, nat = 15, ntyp = 4
/
ATOMIC_SPECIES
N 14.01 N.upf
Ca 40.08 Ca.upf
Pa 231.04 Pa.upf
Nd 144.24 Nd.upf
CELL_PARAMETERS angstrom
7.156 0.000 0.000
-3.578 6.197 -0.022
0.000 -4.110 5.715
ATOMIC_POSITIONS crystal
N 0.715 0.954 0.694
N 0.240 0.954 0.694
N 0.743 0.486 0.729
N 0.240 0.479 0.694
N 0.760 0.046 0.306
N 0.285 0.046 0.306
N 0.760 0.521 0.306
N 0.257 0.514 0.271
Ca 0.500 0.500 0.000
Ca 0.000 0.000 0.000
Ca 0.000 0.500 0.000
Pa 0.500 0.000 0.500
Pa 0.500 0.500 0.500
Pa 0.000 0.500 0.500
Nd 0.000 0.000 0.500
```

## Properties
The total energy is -8.383 eV/atom. Its volume is 16.852 A^3/atom.



No. 7
Below is CsVGa2Cl8 after structural relaxation, with properties calculated at the PBE-GGA level. Values from VASP.

```
&SYSTEM
  ibrav = 0, nat = 12, ntyp = 4
/
ATOMIC_SPECIES
Cs 132.91 Cs.upf
Cl 35.45 Cl.upf
V 50.94 V.upf
Ga 69.72 Ga.upf
CELL_PARAMETERS angstrom
-0.882 5.190 -3.817
-5.848 1.175 -2.590
-4.602 7.400 5.587
ATOMIC_POSITIONS crystal
Cs 0.500 0.500 0.500
Cl 0.812 0.812 0.565
Cl 0.651 0.264 0.147
Cl 0.736 0.062 0.853
Cl 0.938 0.651 0.147
Cl 0.349 0.736 0.853
Cl 0.264 0.938 0.147
Cl 0.188 0.188 0.435
Cl 0.062 0.349 0.853
V 0.000 0.000 0.000
Ga 0.733 0.733 0.800
Ga 0.267 0.267 0.200
```

## Properties
The total energy is -3.731 eV/atom. The density of states at the Fermi level is 0.370 states/eV per atom. Its volume is 29.437 A^3/atom.



No. 8
Below is ScPAuO2 after structural relaxation, with properties calculated at the PBE-GGA level. Values from VASP.

```
&SYSTEM
  ibrav = 0, nat = 5, ntyp = 4
/
ATOMIC_SPECIES
O 16.00 O.upf
P 30.97 P.upf
Sc 44.96 Sc.upf
Au 196.97 Au.upf
CELL_PARAMETERS angstrom
4.047 0.000 0.000
0.000 4.047 0.000
0.000 0.000 4.856
ATOMIC_POSITIONS crystal
O 0.500 0.000 0.000
O 0.000 0.500 0.000
P 0.000 0.000 0.500
Sc 0.500 0.500 0.500
Au 0.000 0.000 0.000
```

## Properties
The total energy is -5.188 eV/atom. The density of states at the Fermi level is 0.281 states/eV per atom. Its volume is 15.906 A^3/atom. The calculation puts the relative energy among the computed polymorphs at 0.593 eV/atom.



No. 9
Below is GeBRh4 after structural relaxation, with properties calculated at the PBE-GGA level. Values from VASP.

```
&SYSTEM
  ibrav = 0, nat = 12, ntyp = 3
/
ATOMIC_SPECIES
Rh 102.91 Rh.upf
B 10.81 B.upf
Ge 72.64 Ge.upf
CELL_PARAMETERS angstrom
4.467 0.000 1.472
-0.524 5.370 1.591
0.180 0.415 6.968
ATOMIC_POSITIONS crystal
Rh 0.264 0.040 0.173
Rh 0.944 0.370 0.387
Rh 0.332 0.130 0.613
Rh 0.563 0.540 0.173
Rh 0.668 0.870 0.387
Rh 0.056 0.630 0.613
Rh 0.736 0.960 0.827
Rh 0.437 0.460 0.827
B 0.000 0.000 0.500
B 0.500 0.500 0.500
Ge 0.141 0.750 0.000
Ge 0.859 0.250 0.000
```

## Properties
The total energy is -7.019 eV/atom. The density of states at the Fermi level is 1.028 states/eV per atom. Its volume is 13.537 A^3/atom. For the formation energy, the calculation gives -0.235 eV per atom.



No. 10
Below is Ce2DyNpP4 after structural relaxation, with properties calculated at the PBE-GGA level. Values from VASP.

```
&SYSTEM
  ibrav = 0, nat = 8, ntyp = 4
/
ATOMIC_SPECIES
P 30.97 P.upf
Ce 140.12 Ce.upf
Np 237.00 Np.upf
Dy 162.50 Dy.upf
CELL_PARAMETERS angstrom
-1.924 3.402 1.011
1.398 -1.214 6.743
5.168 3.758 -2.809
ATOMIC_POSITIONS crystal
P 0.500 0.245 0.241
P 0.000 0.751 0.244
P 0.000 0.249 0.756
P 0.500 0.755 0.759
Ce 0.500 0.000 0.500
Ce 0.000 0.500 0.500
Np 0.000 0.000 0.000
Dy 0.500 0.500 0.000
```

## Properties
The total energy is -7.749 eV/atom. The density of states at the Fermi level is 1.889 states/eV per atom. Its volume is 23.220 A^3/atom. For the formation energy, the calculation gives -1.367 eV per atom.



No. 11
Below is TbPm2Pd2 after structural relaxation, with properties calculated at the PBE-GGA level. Values from VASP.

```
&SYSTEM
  ibrav = 0, nat = 10, ntyp = 3
/
ATOMIC_SPECIES
Pd 106.42 Pd.upf
Pm 145.00 Pm.upf
Tb 158.93 Tb.upf
CELL_PARAMETERS angstrom
4.019 0.000 0.000
0.000 7.943 0.000
0.000 0.000 7.943
ATOMIC_POSITIONS crystal
Pd 0.500 0.129 0.871
Pd 0.500 0.629 0.629
Pd 0.500 0.871 0.129
Pd 0.500 0.371 0.371
Pm 0.000 0.668 0.332
Pm 0.000 0.168 0.168
Pm 0.000 0.832 0.832
Pm 0.000 0.332 0.668
Tb 0.500 0.000 0.500
Tb 0.500 0.500 0.000
```

## Properties
The total energy is -5.575 eV/atom. The density of states at the Fermi level is 0.839 states/eV per atom. Its volume is 25.355 A^3/atom. For the formation energy, the calculation gives -0.672 eV per atom. The calculation puts the relative energy among the computed polymorphs at 0.000 eV/atom.



No. 12
Below is Sm7Zn2Cu2 after structural relaxation, with properties calculated at the PBE-GGA level. Values from VASP.

```
&SYSTEM
  ibrav = 0, nat = 11, ntyp = 3
/
ATOMIC_SPECIES
Sm 150.36 Sm.upf
Zn 65.41 Zn.upf
Cu 63.55 Cu.upf
CELL_PARAMETERS angstrom
-3.228 1.939 -5.589
-1.842 -6.909 -1.333
-4.166 0.088 5.297
ATOMIC_POSITIONS crystal
Sm 0.000 0.731 0.500
Sm 0.500 0.731 0.000
Sm 0.500 0.269 0.000
Sm 0.500 0.744 0.500
Sm 0.000 0.000 0.000
Sm 0.500 0.256 0.500
Sm 0.000 0.269 0.500
Zn 0.164 0.500 0.164
Zn 0.836 0.500 0.836
Cu 0.703 0.000 0.297
Cu 0.297 0.000 0.703
```

## Properties
The total energy is -3.952 eV/atom. The density of states at the Fermi level is 1.231 states/eV per atom. Its volume is 28.113 A^3/atom. For the formation energy, the calculation gives 0.027 eV per atom.